A geometry-optimized MnGaIO2 structure. Source: Alexandria via LeMat-Bulk, functional PBE with a Hubbard U.

The structure in POSCAR format:
```
MnGaIO2
1.0
3.9167 0.0000 0.0000
0.0000 3.9167 0.0000
0.0000 0.0000 5.7999
Mn O I Ga
1 2 1 1
direct
0.5000 0.5000 0.5000 Mn
0.0000 0.5000 0.0000 O
0.5000 0.0000 0.0000 O
0.0000 0.0000 0.5000 I
0.0000 0.0000 0.0000 Ga
```

Properties
energy above the most stable polymorph in this dataset	0.033	eV/f.u.
V	17.8	Å³/atom